DFT (PBE) results for a relaxed MgPbW crystal.

Cell: 7.5156 7.5156 7.5156 Å, 156.95 156.95 32.82°
Element x y z (fractional)
Mg 0.0223 0.0223 0.0000
Pb 0.3191 0.3191 0.0000
W 0.6586 0.6586 0.0000

Output
E above lowest polymorph = 0.07 eV per formula unit
formation energy from the elements = 0.690 eV/atom

DFT (PBE) results for a relaxed Dy2PaSn crystal.

Cell: 3.4126 3.4126 11.8872 Å, 81.75 81.75 60.00°
Element x y z (fractional)
Dy 0.9109 0.9109 0.2672
Dy 0.0891 0.0891 0.7328
Sn 0.0000 0.0000 0.0000
Pa 0.5000 0.5000 0.5000

Output
E above lowest polymorph = 1.28 eV per formula unit
formation energy from the elements = 0.111 eV/atom

DFT (PBE) results for a relaxed KY3Tl crystal.

Cell: 5.9217 5.9217 5.9217 Å, 90.00 90.00 90.00°
Site moments in Bohr magnetons follow the coordinates.
Element x y z (fractional)
Y 0.0000 0.5000 0.0000  0.07
Y 0.5000 0.0000 0.0000  0.19
Y 0.0000 0.0000 0.5000  0.06
Tl 0.0000 0.0000 0.0000  0.01
K 0.5000 0.5000 0.5000  0.01

Output
E above lowest polymorph = 0.00 eV per formula unit
formation energy from the elements = 0.397 eV/atom

DFT (PBE) results for a relaxed Er2ScBi crystal.

Cell: 4.7914 4.7179 4.7179 Å, 90.00 90.00 90.00°
Element x y z (fractional)
Er 0.0000 0.0000 0.5000
Er 0.0000 0.5000 0.0000
Bi 0.5000 0.5000 0.5000
Sc 0.5000 0.0000 0.0000

Output
E above lowest polymorph = 0.27 eV per formula unit
formation energy from the elements = -0.288 eV/atom

DFT (PBE) results for a relaxed HfAlH crystal.

Cell: 7.4282 5.6684 4.0992 Å, 90.00 90.00 90.00°
Element x y z (fractional)
Hf 0.3243 0.2500 0.9928
Hf 0.6757 0.7500 0.0072
Hf 0.8243 0.2500 0.5072
Hf 0.1757 0.7500 0.4928
Al 0.5000 0.0000 0.5000
Al 0.0000 0.5000 0.0000
Al 0.0000 0.0000 0.0000
Al 0.5000 0.5000 0.5000
H 0.9116 0.7500 0.2896
H 0.4116 0.7500 0.2104
H 0.0884 0.2500 0.7104
H 0.5884 0.2500 0.7896

Output
E above lowest polymorph = 1.10 eV per formula unit

DFT (PBE) results for a relaxed SrTiO crystal.

Cell: 3.2856 3.2856 11.1841 Å, 90.00 90.15 90.00°
Element x y z (fractional)
Sr 0.0786 0.0000 0.5095
Sr 0.5847 0.5000 0.1565
O 0.0840 0.0000 0.0814
O 0.0806 0.0000 0.7274
Ti 0.5809 0.5000 0.7598
Ti 0.0825 0.0000 0.9114

Output
formation energy from raw total energies = -1.495 eV per atom
E above lowest polymorph = 0.28 eV per formula unit

Repeat the first record exactly.
DFT (PBE) results for a relaxed MgPbW crystal.

Cell: 7.5156 7.5156 7.5156 Å, 156.95 156.95 32.82°
Element x y z (fractional)
Mg 0.0223 0.0223 0.0000
Pb 0.3191 0.3191 0.0000
W 0.6586 0.6586 0.0000

Output
E above lowest polymorph = 0.07 eV per formula unit
formation energy from the elements = 0.690 eV/atom